# 1
This record from OQMD via LeMat-Bulk describes a geometry-optimized Mg2Ni6Ir structure. The functional is GGA-PBE.

Lattice parameters (Å, degrees): 5.6704 5.6704 5.6704 60.00 60.00 60.00
Element x y z (fractional)
Ir1 0.0000 0.0000 0.0000
Mg1 0.2500 0.2500 0.2500
Mg2 0.7500 0.7500 0.7500
Ni1 0.7103 0.2897 0.2897
Ni2 0.7103 0.7103 0.2897
Ni3 0.2897 0.7103 0.2897
Ni4 0.7103 0.2897 0.7103
Ni5 0.2897 0.7103 0.7103
Ni6 0.2897 0.2897 0.7103

Properties
As for the symmetry: Fm-3m. The total energy comes out at -4.883 eV/atom. For the spin magnetization, the calculation gives 0.10 μB/f.u.

# 2
This record from OQMD via LeMat-Bulk describes a geometry-optimized CsAuSeO structure. The functional is GGA-PBE.

Lattice parameters (Å, degrees): 4.7919 7.3420 6.7921 90.00 90.00 90.00
Element x y z (fractional)
Au1 0.5000 0.9657 0.0196
Au2 0.5000 0.0343 0.5196
Cs1 0.0000 0.3424 0.1258
Cs2 0.0000 0.6576 0.6258
O1 0.5000 0.1510 0.2483
O2 0.5000 0.8490 0.7483
Se1 0.0000 0.8630 0.0973
Se2 0.0000 0.1370 0.5973

Properties
As for the symmetry: Pmc2_1. The polymorph energy (0 for the lowest one) is 199 meV per atom. The total energy comes out at -3.608 eV/atom.

# 3
This record from OQMD via LeMat-Bulk describes a geometry-optimized Rb2CdO2 structure. The functional is GGA-PBE.

Lattice parameters (Å, degrees): 5.6246 7.4757 10.8403 90.00 90.00 90.00
Element x y z (fractional)
O1 0.0019 0.6369 0.4109
O2 0.5019 0.8631 0.5891
O3 0.8433 0.2244 0.6180
O4 0.1567 0.7244 0.8820
O5 0.4981 0.3631 0.9109
O6 0.9981 0.1369 0.0891
O7 0.6567 0.7756 0.1180
O8 0.3433 0.2756 0.3820
Rb1 0.4929 0.1520 0.1342
Rb2 0.9945 0.4744 0.1786
Rb3 0.0055 0.9744 0.3214
Rb4 0.5071 0.6520 0.3658
Rb5 0.0071 0.8480 0.6342
Rb6 0.5055 0.5256 0.6786
Rb7 0.4945 0.0256 0.8214
Rb8 0.9929 0.3480 0.8658
Cd1 0.9755 0.8851 0.0098
Cd2 0.0245 0.3851 0.4902
Cd3 0.5245 0.1149 0.5098
Cd4 0.4755 0.6149 0.9902

Properties
As for the symmetry: P2_12_12_1. The total energy comes out at -3.570 eV/atom.

# 4
This record from OQMD via LeMat-Bulk describes a geometry-optimized CoPd2Au structure. The functional is GGA-PBE.

Lattice parameters (Å, degrees): 4.4179 4.4179 4.4179 60.00 60.00 60.00
Last column: magnetic moment on the atom in μB.
Element x y z (fractional)
Au1 0.2500 0.2500 0.2500  0.03
Co1 0.5000 0.5000 0.5000  2.06
Pd1 0.0000 0.0000 0.0000  0.15
Pd2 0.7500 0.7500 0.7500  0.21

Properties
As for the symmetry: F-43m. As for the formation energy: 0.54 eV/f.u. The total energy comes out at -5.046 eV/atom. For the spin magnetization, the calculation gives 2.38 μB/f.u.

# 5
This record from OQMD via LeMat-Bulk describes a geometry-optimized PmNbGe structure. The functional is GGA-PBE.

Lattice parameters (Å, degrees): 4.7656 4.7656 4.7656 60.00 60.00 60.00
Last column: magnetic moment on the atom in μB.
Element x y z (fractional)
Ge1 0.2500 0.2500 0.2500  -0.07
Nb1 0.0000 0.0000 0.0000  2.00
Pm1 0.7500 0.7500 0.7500  0.53

Properties
As for the symmetry: F-43m. The polymorph energy (0 for the lowest one) is 1140 meV per atom. The total energy comes out at -5.953 eV/atom. For the spin magnetization, the calculation gives 3.02 μB/f.u.

# 6
This record from OQMD via LeMat-Bulk describes a geometry-optimized ThZnSn structure. The functional is GGA-PBE.

Lattice parameters (Å, degrees): 5.1047 5.1047 5.1047 60.00 60.00 60.00
Element x y z (fractional)
Sn1 0.2500 0.2500 0.2500
Th1 0.0000 0.0000 0.0000
Zn1 0.7500 0.7500 0.7500

Properties
As for the symmetry: F-43m. The total energy comes out at -4.163 eV/atom. For the spin magnetization, the calculation gives 0.00 μB/f.u.

# 7
This record from OQMD via LeMat-Bulk describes a geometry-optimized ReAsPb structure. The functional is GGA-PBE.

Lattice parameters (Å, degrees): 4.5239 4.5239 4.5239 60.00 60.00 60.00
Element x y z (fractional)
As1 0.2500 0.2500 0.2500
Pb1 0.7500 0.7500 0.7500
Re1 0.0000 0.0000 0.0000

Properties
As for the symmetry: F-43m. The total energy comes out at -6.079 eV/atom. For the spin magnetization, the calculation gives 0.01 μB/f.u.

# 8
This record from OQMD via LeMat-Bulk describes a geometry-optimized NdSmS2F2 structure. The functional is GGA-PBE.

Lattice parameters (Å, degrees): 3.8714 3.8714 6.9057 90.00 90.00 90.00
Element x y z (fractional)
F1 0.5000 0.0000 0.9979
F2 0.0000 0.5000 0.9979
Nd1 0.0000 0.0000 0.2294
S1 0.5000 0.5000 0.3582
S2 0.0000 0.0000 0.6465
Sm1 0.5000 0.5000 0.7702

Properties
As for the symmetry: P4mm. The total energy comes out at -6.583 eV/atom. For the spin magnetization, the calculation gives 0.00 μB/f.u.

# 9
This record from OQMD via LeMat-Bulk describes a geometry-optimized NdY2 structure. The functional is GGA-PBE.

Lattice parameters (Å, degrees): 5.4986 5.4986 5.4986 60.00 60.00 60.00
Element x y z (fractional)
Nd1 0.0000 0.0000 0.0000
Y1 0.2500 0.2500 0.2500
Y2 0.7500 0.7500 0.7500

Properties
As for the symmetry: Fm-3m. The polymorph energy (0 for the lowest one) is 465 meV per atom. As for the formation energy: 2.29 eV/f.u. The total energy comes out at -5.136 eV/atom. For the spin magnetization, the calculation gives 0.05 μB/f.u.

# 10
This record from OQMD via LeMat-Bulk describes a geometry-optimized Cu4Ag structure. The functional is GGA-PBE.

Lattice parameters (Å, degrees): 21.1314 21.1314 21.1314 7.31 7.31 7.31
Element x y z (fractional)
Ag1 0.4008 0.4008 0.4008
Ag2 0.5992 0.5992 0.5992
Cu1 0.0000 0.0000 0.0000
Cu2 0.1034 0.1034 0.1034
Cu3 0.1986 0.1986 0.1986
Cu4 0.3020 0.3020 0.3020
Cu5 0.5000 0.5000 0.5000
Cu6 0.6980 0.6980 0.6980
Cu7 0.8014 0.8014 0.8014
Cu8 0.8966 0.8966 0.8966

Properties
As for the symmetry: R-3m. The polymorph energy (0 for the lowest one) is 41 meV per atom. As for the formation energy: 0.43 eV/f.u. The total energy comes out at -3.453 eV/atom.

# 11
This record from OQMD via LeMat-Bulk describes a geometry-optimized ErH3 structure. The functional is GGA-PBE.

Lattice parameters (Å, degrees): 3.5138 3.5138 5.9996 90.00 90.00 120.00
Element x y z (fractional)
Er1 0.3333 0.6667 0.2500
Er2 0.6667 0.3333 0.7500
H1 0.0000 0.0000 0.0000
H2 0.6667 0.3333 0.0978
H3 0.6667 0.3333 0.4022
H4 0.0000 0.0000 0.5000
H5 0.3333 0.6667 0.5978
H6 0.3333 0.6667 0.9022

Properties
As for the symmetry: P6_3/mmc. The polymorph energy (0 for the lowest one) is 186 meV per atom. The total energy comes out at -4.090 eV/atom. For the spin magnetization, the calculation gives 0.00 μB/f.u.

Quick rundown of volume, same order as above: 128.9 239.0 455.8 61.0 76.5 94.1 65.5 103.5 117.6 132.5 64.2 Å³ per cell